A geometry-optimized Ti2FeRhN structure. Source: Alexandria via LeMat-Bulk, functional PBE.

Values from the calculation:
Symmetry: P4/mmm
E_form (uncorrected), eV/atom: -0.819

Lattice parameters (Å, degrees): 4.133 4.133 3.683 90.00 90.00 90.00
Fractional coordinates of all 5 atoms:
Ti 0.000 0.500 0.000
Ti 0.500 0.000 0.000
N 0.000 0.000 0.000
Fe 0.000 0.000 0.500
Rh 0.500 0.500 0.500